Record 1
Density functional theory data (PBE) for a geometry-optimized Ba4InAu structure.

Lattice parameters (Å, degrees): 10.1201 10.1201 10.1201 90.00 90.00 90.00
Space group F-43m (No. 216)
Inequivalent atoms, fractional coordinates:
Ba 0.1251 0.1251 0.1251
In 0.2500 0.2500 0.7500
Au 0.0000 0.0000 0.5000

Summary:
Total moment   0.001 μB/f.u.
Final energy   -1.964 eV/atom
Crystal system   cubic
Formation enthalpy at 0 K   320 meV per atom
ΔE to the lowest computed polymorph   684.9 meV per atom
Volume   1036.5 Å³/cell



Record 2
Density functional theory data (PBE) for a geometry-optimized Ba3InAu3 structure.

Lattice parameters (Å, degrees): 12.8390 4.6392 16.5910 90.00 109.41 90.00
Space group C2/m (No. 12)
Inequivalent atoms, fractional coordinates:
Ba 0.0182 0.0000 0.3805
Ba 0.1027 0.0000 0.9238
Ba 0.2353 0.0000 0.2326
In 0.2424 0.5000 0.4132
Au 0.0260 0.5000 0.2304
Au 0.1109 0.5000 0.0778
Au 0.1251 0.5000 0.5407

Summary:
Total moment   0.000 μB/f.u.
Final energy   -3.268 eV/atom
Crystal system   monoclinic
Formation enthalpy at 0 K   -648 meV per atom
ΔE to the lowest computed polymorph   0.0 meV per atom
Volume   932.0 Å³/cell



Record 3
Density functional theory data (PBE) for a geometry-optimized Ba2InAu structure.

Lattice parameters (Å, degrees): 4.0914 5.7342 11.9655 90.00 90.00 90.00
Space group Imm2 (No. 44)
Inequivalent atoms, fractional coordinates:
Ba 0.0000 0.0000 0.0000
Ba 0.0000 0.5000 0.1936
In 0.0000 0.5000 0.7855
Au 0.0000 0.0000 0.4547

Summary:
Total moment   0.000 μB/f.u.
Final energy   -2.921 eV/atom
Crystal system   orthorhombic
Formation enthalpy at 0 K   -456 meV per atom
Volume   280.7 Å³/cell



Record 4
Density functional theory data (PBE) for a geometry-optimized BaInAu2 structure.

Lattice parameters (Å, degrees): 4.1953 7.0454 8.2552 90.00 90.00 90.00
Space group Amm2 (No. 38)
Inequivalent atoms, fractional coordinates:
Ba 0.0000 0.0000 0.0000
In 0.5000 0.0000 0.5818
Au 0.5000 0.1996 0.2875

Summary:
Total moment   0.000 μB/f.u.
Final energy   -3.316 eV/atom
Crystal system   orthorhombic
Formation enthalpy at 0 K   -512 meV per atom
Volume   244.0 Å³/cell